Entry 1:
The following is a DFT calculation (PBEsol) of a relaxed structure of KLi3Sn.

## Properties
- polymorph energy (0 for the lowest one) (eV/atom) = 0.762
- calculated formation energy (eV/atom) = 0.57
- DOS at the Fermi energy (states/eV per cell) = 2.7
- magnetic moment (Bohr magnetons per cell) = 0.00

Cell lengths 4.983, 4.983, 4.983 Å; angles 90.00, 90.00, 90.00 degrees
Space group Pm-3m (No. 221)
Unique sites:
K: 0.000 0.000 0.000 [1 per cell]
Li: 0.000 0.000 0.500 [3 per cell]
Sn: 0.500 0.500 0.500 [1 per cell]

***

Entry 2:
The following is a DFT calculation (PBEsol) of a relaxed structure of K3SrLi.

## Properties
- calculated formation energy (eV/atom) = 0.25
- DOS at the Fermi energy (states/eV per cell) = 3.8
- magnetic moment (Bohr magnetons per cell) = 0.00

Cell lengths 6.729, 6.729, 6.729 Å; angles 90.00, 90.00, 90.00 degrees
Space group Pm-3m (No. 221)
Unique sites:
K: 0.000 0.000 0.500 [3 per cell]
Sr: 0.500 0.500 0.500 [1 per cell]
Li: 0.000 0.000 0.000 [1 per cell]

***

Entry 3:
The following is a DFT calculation (PBEsol) of a relaxed structure of KSr2Li.

## Properties
- calculated formation energy (eV/atom) = 0.08
- DOS at the Fermi energy (states/eV per cell) = 4.2
- magnetic moment (Bohr magnetons per cell) = 0.00

Cell lengths 4.198, 4.198, 10.883 Å; angles 90.00, 90.00, 90.00 degrees
Space group P4/mmm (No. 123)
Unique sites:
K: 0.000 0.000 0.000 [1 per cell]
Sr: 0.500 0.500 0.311 [2 per cell]
Li: 0.000 0.000 0.500 [1 per cell]

***

Entry 4:
The following is a DFT calculation (PBEsol) of a relaxed structure of K2SrLi.

## Properties
- polymorph energy (0 for the lowest one) (eV/atom) = 0.000
- calculated formation energy (eV/atom) = 0.08
- DOS at the Fermi energy (states/eV per cell) = 3.0
- magnetic moment (Bohr magnetons per cell) = 0.00

Cell lengths 4.280, 4.277, 11.364 Å; angles 90.00, 90.06, 90.00 degrees
Space group Pm (No. 6)
Unique sites:
K: 0.000 0.000 0.000 [1 per cell]
K: 0.499 0.500 0.320 [1 per cell]
Sr: 0.998 0.000 0.613 [1 per cell]
Li: 0.499 0.500 0.790 [1 per cell]

***

Entry 5:
The following is a DFT calculation (PBEsol) of a relaxed structure of KSrLi4.

## Properties
- calculated formation energy (eV/atom) = 0.07
- DOS at the Fermi energy (states/eV per cell) = 13.4
- magnetic moment (Bohr magnetons per cell) = 0.00

Cell lengths 9.202, 9.202, 9.202 Å; angles 90.00, 90.00, 90.00 degrees
Space group F-43m (No. 216)
Unique sites:
K: 0.000 0.000 0.000 [4 per cell]
Sr: 0.250 0.250 0.750 [4 per cell]
Li: 0.124 0.124 0.376 [16 per cell]

***

Entry 6:
The following is a DFT calculation (PBEsol) of a relaxed structure of KSr2Li.

## Properties
- calculated formation energy (eV/atom) = 0.08
- DOS at the Fermi energy (states/eV per cell) = 3.7
- magnetic moment (Bohr magnetons per cell) = 0.00

Cell lengths 4.279, 4.279, 10.531 Å; angles 90.00, 90.00, 90.00 degrees
Space group P4mm (No. 99)
Unique sites:
K: 0.000 0.000 0.000 [1 per cell]
Sr: 0.000 0.000 0.415 [1 per cell]
Sr: 0.500 0.500 0.688 [1 per cell]
Li: 0.500 0.500 0.226 [1 per cell]

***

Entry 7:
The following is a DFT calculation (PBEsol) of a relaxed structure of KSr2Li2.

## Properties
- calculated formation energy (eV/atom) = 0.09
- DOS at the Fermi energy (states/eV per cell) = 7.6
- magnetic moment (Bohr magnetons per cell) = 0.00

Cell lengths 9.663, 9.663, 4.520 Å; angles 90.00, 90.00, 90.00 degrees
Space group P4/mbm (No. 127)
Unique sites:
K: 0.000 0.000 0.000 [2 per cell]
Sr: 0.164 0.336 0.500 [4 per cell]
Li: 0.121 0.621 0.000 [4 per cell]

***

Entry 8:
The following is a DFT calculation (PBEsol) of a relaxed structure of K2SrLi.

## Properties
- polymorph energy (0 for the lowest one) (eV/atom) = 0.077
- calculated formation energy (eV/atom) = 0.16
- DOS at the Fermi energy (states/eV per cell) = 3.3
- magnetic moment (Bohr magnetons per cell) = 0.00

Cell lengths 4.722, 6.334, 6.892 Å; angles 90.00, 90.00, 90.00 degrees
Space group Pmmm (No. 47)
Unique sites:
K: 0.000 0.000 0.000 [1 per cell]
K: 0.500 0.500 0.000 [1 per cell]
Sr: 0.000 0.500 0.500 [1 per cell]
Li: 0.500 0.000 0.500 [1 per cell]

***

Entry 9:
The following is a DFT calculation (PBEsol) of a relaxed structure of KLi3Ta.

## Properties
- calculated formation energy (eV/atom) = 1.21
- DOS at the Fermi energy (states/eV per cell) = 3.9
- magnetic moment (Bohr magnetons per cell) = 5.37

Cell lengths 5.460, 5.460, 5.460 Å; angles 90.00, 90.00, 90.00 degrees
Space group Pm-3m (No. 221)
Unique sites:
K: 0.000 0.000 0.000 [1 per cell]
Li: 0.000 0.500 0.500 [3 per cell]
Ta: 0.500 0.500 0.500 [1 per cell]

***

Entry 10:
The following is a DFT calculation (PBEsol) of a relaxed structure of KLiTc2.

## Properties
- polymorph energy (0 for the lowest one) (eV/atom) = 0.042
- calculated formation energy (eV/atom) = 0.92
- DOS at the Fermi energy (states/eV per cell) = 11.3
- magnetic moment (Bohr magnetons per cell) = 0.00

Cell lengths 2.6744, 2.6744, 31.9633 Å; angles 90.00, 90.00, 120.00 degrees
Space group R-3m (No. 166, hexagonal axes)
Unique sites:
K: 0.0000 0.0000 0.0000 [3 per cell]
Li: 0.0000 0.0000 0.5000 [3 per cell]
Tc: 0.0000 0.0000 0.2405 [6 per cell]

***

Entry 11:
The following is a DFT calculation (PBEsol) of a relaxed structure of KLiTc2.

## Properties
- polymorph energy (0 for the lowest one) (eV/atom) = 0.000
- calculated formation energy (eV/atom) = 0.88
- DOS at the Fermi energy (states/eV per cell) = 6.6
- magnetic moment (Bohr magnetons per cell) = 0.00

Cell lengths 2.673, 4.487, 11.171 Å; angles 90.00, 90.00, 90.00 degrees
Space group Immm (No. 71)
Unique sites:
K: 0.000 0.000 0.000 [2 per cell]
Li: 0.000 0.000 0.500 [2 per cell]
Tc: 0.000 0.500 0.227 [4 per cell]

***

Entry 12:
The following is a DFT calculation (PBEsol) of a relaxed structure of KLiTe2.

## Properties
- polymorph energy (0 for the lowest one) (eV/atom) = 0.000
- DOS at the Fermi energy (states/eV per cell) = 4.8
- magnetic moment (Bohr magnetons per cell) = 0.00
- formation energy from raw total energies (eV per atom) = -0.72

Cell lengths 5.800, 5.800, 17.720 Å; angles 90.00, 90.00, 90.00 degrees
Space group I-42d (No. 122)
Unique sites:
K: 0.000 0.000 0.000 [4 per cell]
Li: 0.000 0.000 0.500 [4 per cell]
Te: 0.068 0.250 0.625 [8 per cell]

***

Entry 13:
The following is a DFT calculation (PBEsol) of a relaxed structure of KLi3Te.

## Properties
- DOS at the Fermi energy (states/eV per cell) = 1.9
- magnetic moment (Bohr magnetons per cell) = 0.00
- formation energy from raw total energies (eV per atom) = -0.39

Cell lengths 5.423, 5.423, 5.423 Å; angles 90.00, 90.00, 90.00 degrees
Space group Pm-3m (No. 221)
Unique sites:
K: 0.000 0.000 0.000 [1 per cell]
Li: 0.000 0.500 0.500 [3 per cell]
Te: 0.500 0.500 0.500 [1 per cell]

***

Entry 14:
The following is a DFT calculation (PBEsol) of a relaxed structure of K2LiTe2.

## Properties
- DOS at the Fermi energy (states/eV per cell) = 1.5
- magnetic moment (Bohr magnetons per cell) = 0.00
- formation energy from raw total energies (eV per atom) = -0.60

Cell lengths 9.751, 9.751, 3.558 Å; angles 90.00, 90.00, 90.00 degrees
Space group P4/mbm (No. 127)
Unique sites:
K: 0.120 0.380 0.000 [4 per cell]
Li: 0.000 0.000 0.000 [2 per cell]
Te: 0.179 0.679 0.500 [4 per cell]

***

Entry 15:
The following is a DFT calculation (PBEsol) of a relaxed structure of K2LiTe.

## Properties
- DOS at the Fermi energy (states/eV per cell) = 9.0
- magnetic moment (Bohr magnetons per cell) = 0.00
- formation energy from raw total energies (eV per atom) = -0.42

Cell lengths 8.213, 8.213, 8.213 Å; angles 90.00, 90.00, 90.00 degrees
Space group F-43m (No. 216)
Unique sites:
K: 0.000 0.000 0.000 [4 per cell]
K: 0.250 0.250 0.250 [4 per cell]
Li: 0.000 0.000 0.500 [4 per cell]
Te: 0.250 0.250 0.750 [4 per cell]

***

Entry 16:
The following is a DFT calculation (PBEsol) of a relaxed structure of K2LiTe.

## Properties
- DOS at the Fermi energy (states/eV per cell) = 3.4
- magnetic moment (Bohr magnetons per cell) = 0.00
- formation energy from raw total energies (eV per atom) = -0.72

Cell lengths 4.6769, 4.6769, 26.7434 Å; angles 90.00, 90.00, 120.00 degrees
Space group R3m (No. 160, hexagonal axes)
Unique sites:
K: 0.0000 0.0000 0.0000 [3 per cell]
K: 0.0000 0.0000 0.1836 [3 per cell]
Li: 0.0000 0.0000 0.7585 [3 per cell]
Te: 0.0000 0.0000 0.4249 [3 per cell]

***

Entry 17:
The following is a DFT calculation (PBEsol) of a relaxed structure of KLi2Te2.

## Properties
- DOS at the Fermi energy (states/eV per cell) = 5.5
- magnetic moment (Bohr magnetons per cell) = 0.00
- formation energy from raw total energies (eV per atom) = -0.87

Cell lengths 4.677, 4.677, 12.410 Å; angles 90.00, 90.00, 90.00 degrees
Space group I4/mmm (No. 139)
Unique sites:
K: 0.000 0.000 0.000 [2 per cell]
Li: 0.000 0.500 0.250 [4 per cell]
Te: 0.000 0.000 0.368 [4 per cell]

***

Entry 18:
The following is a DFT calculation (PBEsol) of a relaxed structure of KLiTe2.

## Properties
- polymorph energy (0 for the lowest one) (eV/atom) = 0.131
- DOS at the Fermi energy (states/eV per cell) = 2.1
- magnetic moment (Bohr magnetons per cell) = 0.00
- formation energy from raw total energies (eV per atom) = -0.59

Cell lengths 4.938, 4.949, 9.143 Å; angles 90.00, 90.00, 90.00 degrees
Space group Immm (No. 71)
Unique sites:
K: 0.000 0.000 0.000 [2 per cell]
Li: 0.000 0.000 0.500 [2 per cell]
Te: 0.000 0.500 0.250 [4 per cell]

***

Entry 19:
The following is a DFT calculation (PBEsol) of a relaxed structure of KLiTe2.

## Properties
- polymorph energy (0 for the lowest one) (eV/atom) = 0.237
- DOS at the Fermi energy (states/eV per cell) = 12.7
- magnetic moment (Bohr magnetons per cell) = 0.00
- formation energy from raw total energies (eV per atom) = -0.48

Cell lengths 7.674, 7.674, 7.674 Å; angles 90.00, 90.00, 90.00 degrees
Space group Fm-3m (No. 225)
Unique sites:
K: 0.000 0.000 0.000 [4 per cell]
Li: 0.000 0.000 0.500 [4 per cell]
Te: 0.250 0.250 0.250 [8 per cell]

***

Entry 20:
The following is a DFT calculation (PBEsol) of a relaxed structure of KLiTe2.

## Properties
- polymorph energy (0 for the lowest one) (eV/atom) = 0.160
- DOS at the Fermi energy (states/eV per cell) = 1.5
- magnetic moment (Bohr magnetons per cell) = 0.00
- formation energy from raw total energies (eV per atom) = -0.56

Cell lengths 3.522, 3.522, 9.799 Å; angles 90.00, 90.00, 90.00 degrees
Space group P4mm (No. 99)
Unique sites:
K: 0.000 0.000 0.000 [1 per cell]
Li: 0.500 0.500 0.485 [1 per cell]
Te: 0.000 0.000 0.338 [1 per cell]
Te: 0.500 0.500 0.763 [1 per cell]